The following is a GGA-PBE calculation of a relaxed LaHo3Th2P6 crystal, from Alexandria.

a b c (Å): 17.781 4.095 8.154
angles (deg): 90.00 102.88 90.00
Space group C2/m (No. 12)
Inequivalent atoms, fractional coordinates:
La 0.000 0.000 0.000 [2 per cell]
Ho 0.000 0.000 0.500 [2 per cell]
Ho 0.166 0.500 0.833 [4 per cell]
Th 0.166 0.500 0.332 [4 per cell]
P 0.001 0.500 0.739 [4 per cell]
P 0.165 0.000 0.587 [4 per cell]
P 0.171 0.000 0.081 [4 per cell]

## Properties
total moment: 0.00 μB per cell
formation energy from the elements: -1.59 eV per atom
calculated density: 7.36 g/cm3
calculated volume: 578.8 Å³/cell


The following is a GGA-PBE calculation of a relaxed La3HoTh2P6 crystal, from Alexandria.

a b c (Å): 7.226 12.526 7.264
angles (deg): 90.00 109.36 90.00
Space group C2/m (No. 12)
Inequivalent atoms, fractional coordinates:
La 0.000 0.000 0.000 [2 per cell]
La 0.000 0.333 0.000 [4 per cell]
Ho 0.000 0.500 0.500 [2 per cell]
Th 0.000 0.167 0.500 [4 per cell]
P 0.244 0.335 0.738 [8 per cell]
P 0.249 0.000 0.738 [4 per cell]

## Properties
total moment: 0.00 μB per cell
formation energy from the elements: -1.59 eV per atom
calculated density: 6.59 g/cm3
calculated volume: 620.3 Å³/cell


The following is a GGA-PBE calculation of a relaxed LaHo2Th3P6 crystal, from Alexandria.

a b c (Å): 7.148 12.362 7.098
angles (deg): 90.00 109.64 90.00
Space group C2/m (No. 12)
Inequivalent atoms, fractional coordinates:
La 0.000 0.000 0.000 [2 per cell]
Ho 0.000 0.333 0.000 [4 per cell]
Th 0.000 0.165 0.500 [4 per cell]
Th 0.000 0.500 0.500 [2 per cell]
P 0.240 0.500 0.246 [4 per cell]
P 0.246 0.329 0.752 [8 per cell]

## Properties
total moment: 0.00 μB per cell
formation energy from the elements: -1.57 eV per atom
calculated density: 7.59 g/cm3
calculated volume: 590.7 Å³/cell


- Which value of total moment does entry 1 give?
  0.00 μB per cell